1.
{
  "formula": "LaTmCuGe",
  "functional": "GGA-PBE",
  "state": "optimized geometry",
  "lattice_angstrom": [[-0.075, 3.527, 3.662], [-3.601, 3.590, -0.001], [-3.664, -0.073, 3.525]],
  "species": ["Ge", "Tm", "Cu", "La"],
  "frac_coords": [[0.250, 0.250, 0.250], [0.500, 0.500, 0.500], [0.750, 0.750, 0.750], [0.000, 0.000, 0.000]],
  "space_group": "F-43m (216)"
}

***

2.
{
  "formula": "LaTm2Cu2Ge2",
  "functional": "GGA-PBE",
  "state": "optimized geometry",
  "lattice_angstrom": [[-0.143, -0.633, -4.302], [-2.507, -3.148, -1.653], [-7.914, 4.675, -2.625]],
  "species": ["La", "Tm", "Tm", "Cu", "Cu", "Ge", "Ge"],
  "frac_coords": [[0.000, 0.000, 0.000], [0.129, 0.129, 0.613], [0.871, 0.871, 0.387], [0.589, 0.589, 0.234], [0.411, 0.411, 0.766], [0.743, 0.743, 0.770], [0.257, 0.257, 0.230]],
  "space_group": "R-3m (166)"
}

***

3.
{
  "formula": "LaTmCu2Ge2",
  "functional": "GGA-PBE",
  "state": "optimized geometry",
  "lattice_angstrom": [[-2.523, 0.895, 3.350], [-1.718, -1.449, -3.652], [0.758, -7.164, 2.486]],
  "species": ["La", "Tm", "Cu", "Cu", "Ge", "Ge"],
  "frac_coords": [[0.000, 0.000, 0.000], [0.000, 0.000, 0.500], [0.333, 0.667, 0.712], [0.667, 0.333, 0.288], [0.333, 0.667, 0.267], [0.667, 0.333, 0.733]],
  "space_group": "P-3m1 (164)"
}

***

4.
{
  "formula": "La2CuGeW",
  "functional": "GGA-PBE",
  "state": "optimized geometry",
  "lattice_angstrom": [[5.732, 0.000, 0.000], [0.000, 4.698, 0.000], [0.000, 0.000, 5.732]],
  "species": ["Ge", "Cu", "W", "La", "La"],
  "frac_coords": [[0.000, 0.000, 0.000], [0.500, 0.500, 0.500], [0.000, 0.500, 0.000], [0.000, 0.000, 0.500], [0.500, 0.000, 0.000]],
  "space_group": "P4/mmm (123)"
}

***

5.
{
  "formula": "LaYCuGe",
  "functional": "GGA-PBE",
  "state": "optimized geometry",
  "lattice_angstrom": [[-2.219, -1.000, -4.510], [1.325, -4.192, -2.634], [-3.291, -3.905, -0.426]],
  "species": ["Y", "Ge", "Cu", "La"],
  "frac_coords": [[0.250, 0.250, 0.250], [0.500, 0.500, 0.500], [0.000, 0.000, 0.000], [0.750, 0.750, 0.750]],
  "space_group": "F-43m (216)"
}

***

6.
{
  "formula": "La2ZnCu3Ge4",
  "functional": "GGA-PBE",
  "state": "optimized geometry",
  "lattice_angstrom": [[-0.335, -4.193, -0.857], [0.974, -0.912, 4.081], [-9.903, 0.294, 2.429]],
  "species": ["La", "La", "Zn", "Cu", "Cu", "Cu", "Ge", "Ge", "Ge", "Ge"],
  "frac_coords": [[0.500, 0.000, 0.249], [0.000, 0.500, 0.751], [0.500, 0.500, 0.500], [0.000, 0.000, 0.500], [0.500, 0.000, 0.874], [0.000, 0.500, 0.126], [0.500, 0.500, 0.000], [0.000, 0.000, 0.000], [0.500, 0.000, 0.636], [0.000, 0.500, 0.364]],
  "space_group": "P-4m2 (115)"
}

***

no.,ΔE_f (eV/atom),calculated density (Mg/m³)
1,-0.46,7.9
2,-0.50,8.2
3,-0.69,7.9
4,0.68,6.4
5,-0.48,6.4
6,-0.55,7.3